Run one
A plane-wave DFT calculation with GGA-PBE was carried out for crystalline KZnRe at its relaxed geometry.

Calculated values
As for the space group: F-43m. The magnetization comes out at 4.0 μB/f.u.

```
KZnRe
1.0
5.206 0.000 0.000
2.603 4.508 0.000
2.603 1.503 4.251
K Re Zn
1 1 1
Cartesian
7.809 4.508 3.188 K
0.000 0.000 0.000 Re
5.206 3.006 2.125 Zn
```

***

Run two
A plane-wave DFT calculation with GGA-PBE was carried out for crystalline KZnRe at its relaxed geometry.

Calculated values
As for the space group: Fmm2. The magnetization comes out at 0.0 μB/f.u.

```
KZnRe
1.0
8.458 -0.042 0.032
7.874 2.622 -0.063
0.585 -0.783 2.549
K Re Zn
1 1 1
Cartesian
0.624 -0.774 2.542 K
11.309 1.507 0.792 Re
5.569 0.282 1.732 Zn
```

***

Run three
A plane-wave DFT calculation with GGA-PBE was carried out for crystalline KZnRe at its relaxed geometry.

Calculated values
As for the space group: F-43m. The magnetization comes out at 3.2 μB/f.u.

```
KZnRe
1.0
-4.113 -0.432 -2.455
-1.187 -4.219 -1.979
-3.629 -2.574 1.823
K Re Zn
1 1 1
Cartesian
0.000 0.000 0.000 K
-4.465 -3.612 -1.305 Re
-6.697 -5.419 -1.958 Zn
```

***

In order of decreasing stability: run two, run three, run one.